Density functional theory data (PBE with a Hubbard U) for Ac4Sc3NiO12 after structural relaxation.

Values from the calculation:
E ... -7.951 eV/atom
Magnetization ... 2.0 μB/cell

Cell lengths 8.153, 8.153, 8.153 Å; angles 90.00, 90.00, 90.00 degrees
Space group Im-3m (No. 229)
One atom of each set of equivalent atoms:
Ac (0.250, 0.250, 0.250)
Sc (0.000, 0.000, 0.500)
Ni (0.000, 0.000, 0.000)
O (0.000, 0.000, 0.245)
O (0.000, 0.250, 0.500)